{
  "formula": "Co2PClO4",
  "functional": "PBE+U",
  "state": "optimized geometry",
  "cell": [[12.082, 0.000, 0.000], [0.000, 4.269, 2.199], [0.000, -4.269, 2.199]],
  "species": ["Co", "Co", "O", "P", "O", "Co", "P", "O", "Co", "O", "O", "Cl", "Cl", "O", "O", "O"],
  "fractional_positions": [[0.126, 0.114, 0.772], [0.626, 0.772, 0.114], [0.250, 0.034, 0.000], [0.750, 0.084, 0.764], [0.142, 0.791, 0.272], [0.374, 0.114, 0.772], [0.250, 0.764, 0.084], [0.750, 0.746, 0.397], [0.874, 0.772, 0.114], [0.750, 0.000, 0.034], [0.858, 0.272, 0.791], [0.000, 0.713, 0.713], [0.500, 0.713, 0.713], [0.250, 0.397, 0.746], [0.358, 0.791, 0.272], [0.642, 0.272, 0.791]],
  "volume_a3_per_cell": 227,
  "magmom_total_mub_per_atom": 0.750,
  "space_group": "Ama2, No. 40",
  "e_above_lowest_polymorph_ev_per_atom": 0.1504,
  "rho_kg_m3": 3635
}